1.
VASP calculation (PBE) on a relaxed structure of Pr6DyHo2.

abc: 8.3297 8.3297 10.5562
angles: 90.00 90.00 90.00
Last column: nearest neighbours and their distance in Å.
Sites, in units of the cell vectors:
1 Pr 0.7608 0.2392 0.1666  2 Ho 3.07-3.32, 1 Dy 3.32
2 Pr 0.7610 0.2390 0.5000  1 Dy 3.07, 2 Ho 3.32
3 Pr 0.2392 0.7608 0.8334  2 Ho 3.07-3.32, 1 Dy 3.32
4 Pr 0.7392 0.7392 0.6666  2 Ho 3.07-3.32, 1 Dy 3.32
5 Pr 0.2608 0.2608 0.3334  2 Ho 3.07-3.32, 1 Dy 3.32
6 Pr 0.7390 0.7390 0.0000  1 Dy 3.07, 2 Ho 3.32
7 Pr 0.7608 0.2392 0.8334  2 Ho 3.07-3.32, 1 Dy 3.32
8 Pr 0.2610 0.2610 0.0000  1 Dy 3.07, 2 Ho 3.32
9 Pr 0.2608 0.2608 0.6666  2 Ho 3.07-3.32, 1 Dy 3.32
10 Pr 0.2392 0.7608 0.1666  2 Ho 3.07-3.32, 1 Dy 3.32
11 Pr 0.7392 0.7392 0.3334  2 Ho 3.07-3.32, 1 Dy 3.32
12 Pr 0.2390 0.7610 0.5000  1 Dy 3.07, 2 Ho 3.32
13 Dy 0.0000 0.0000 0.0000  6 Pr 3.07-3.32
14 Dy 0.5000 0.5000 0.5000  6 Pr 3.07-3.32
15 Ho 0.5000 0.5000 0.8336  6 Pr 3.07-3.32
16 Ho 0.5000 0.5000 0.1664  6 Pr 3.07-3.32
17 Ho 0.0000 0.0000 0.3336  6 Pr 3.07-3.32
18 Ho 0.0000 0.0000 0.6664  6 Pr 3.07-3.32

Space-group type   P4_2/mnm
Energy of formation   0.5947 eV/atom
M_tot   0.00 μB per formula unit
DOS(E_F)   32.51 states/eV per cell



2.
VASP calculation (PBE) on a relaxed structure of Sm2ZrPaP4.

abc: 3.9714 6.8430 6.9172
angles: 109.21 90.00 90.00
Last column: nearest neighbours and their distance in Å.
Sites, in units of the cell vectors:
1 P 0.0000 0.2490 0.7650  1 Zr 2.71, 2 Pa 2.77, 3 Sm 2.86-2.89
2 P 0.5000 0.7603 0.7694  2 Zr 2.73, 1 Pa 2.75, 3 Sm 2.86-2.90
3 P 0.0000 0.7510 0.2350  1 Zr 2.71, 2 Pa 2.77, 3 Sm 2.86-2.89
4 P 0.5000 0.2397 0.2306  2 Zr 2.73, 1 Pa 2.75, 3 Sm 2.86-2.90
5 Zr 0.0000 0.0000 0.0000  6 P 2.71-2.73
6 Sm 0.5000 0.0000 0.5000  6 P 2.86
7 Sm 0.0000 0.5000 0.5000  6 P 2.89-2.90
8 Pa 0.5000 0.5000 0.0000  6 P 2.75-2.77

Space-group type   P2/m
Energy of formation   -1.4518 eV/atom
M_tot   0.00 μB per formula unit
DOS(E_F)   4.83 states/eV per cell



3.
VASP calculation (PBE) on a relaxed structure of DyMg2Sn.

abc: 3.3173 3.3173 11.4899
angles: 81.70 81.70 60.00
Last column: nearest neighbours and their distance in Å.
Sites, in units of the cell vectors:
1 Mg 0.0939 0.0939 0.7183  3 Sn 3.13, 1 Dy 3.19, 6 Mg 3.32
2 Mg 0.9061 0.9061 0.2817  3 Sn 3.13, 1 Dy 3.19, 6 Mg 3.32
3 Dy 0.0000 0.0000 0.0000  2 Mg 3.19, 6 Dy 3.32
4 Sn 0.5000 0.5000 0.5000  6 Mg 3.13, 6 Sn 3.32

Space-group type   R-3m
Energy of formation   0.1360 eV/atom
M_tot   0.00 μB per formula unit
DOS(E_F)   3.25 states/eV per cell



4.
VASP calculation (PBE) on a relaxed structure of LiCaBeAu6.

abc: 6.9405 8.8283 7.8658
angles: 124.14 116.18 90.00
Last column: nearest neighbours and their distance in Å.
Sites, in units of the cell vectors:
1 Au 0.0031 0.7531 0.0061  8 Au 3.00-3.01, 1 Ca 3.17, 2 Li 3.23
2 Au 0.9103 0.1294 0.2515  1 Be 2.41, 1 Li 2.64
3 Au 0.3412 0.6221 0.2515  1 Be 2.41, 1 Li 2.64
4 Au 0.9103 0.6221 0.2515  1 Be 2.41, 1 Li 2.64
5 Au 0.6588 0.3779 0.7485  1 Be 2.41, 1 Li 2.64
6 Au 0.0897 0.3779 0.7485  1 Be 2.41, 1 Li 2.64
7 Au 0.9969 0.2469 0.9939  8 Au 3.00-3.01, 1 Ca 3.17, 2 Li 3.23
8 Au 0.3412 0.1294 0.2515  1 Be 2.41, 1 Li 2.64
9 Au 0.6588 0.8706 0.7485  1 Be 2.41, 1 Li 2.64
10 Au 0.4338 0.1838 0.8675  2 Be 2.32
11 Au 0.0897 0.8706 0.7485  1 Be 2.41, 1 Li 2.64
12 Au 0.5662 0.8162 0.1325  2 Be 2.32
13 Be 0.5000 0.5000 0.0000  6 Au 2.32-2.41
14 Be 0.5000 0.0000 0.0000  6 Au 2.32-2.41
15 Li 0.0000 0.0000 0.5000  6 Au 2.64-2.67
16 Li 0.5000 0.0000 0.5000  6 Au 2.64-2.67
17 Ca 0.2844 0.5344 0.5689  10 Au 3.10-3.17, 2 Be 3.24
18 Ca 0.7156 0.4656 0.4311  10 Au 3.10-3.17, 2 Be 3.24

Space-group type   Imma
Energy of formation   -0.3250 eV/atom
M_tot   0.00 μB per formula unit
DOS(E_F)   6.00 states/eV per cell



5.
VASP calculation (PBE) on a relaxed structure of GaCoN3.

abc: 3.6807 3.6807 3.6807
angles: 90.00 90.00 90.00
Last column: nearest neighbours and their distance in Å.
Sites, in units of the cell vectors:
1 Co 0.0000 0.0000 0.0000  6 N 1.84
2 N 0.5000 0.0000 0.0000  2 Co 1.84
3 N 0.0000 0.0000 0.5000  2 Co 1.84
4 N 0.0000 0.5000 0.0000  2 Co 1.84
5 Ga 0.5000 0.5000 0.5000  12 N 2.60

Space-group type   Pm-3m
M_tot   0.01 μB per formula unit
Total DFT energy (no corrections)   -27.976 eV per cell
DOS(E_F)   7.56 states/eV per cell



6.
VASP calculation (PBE) on a relaxed structure of NaTcAs2.

abc: 4.5140 4.5140 4.5140
angles: 60.00 60.00 60.00
Last column: nearest neighbours and their distance in Å.
Sites, in units of the cell vectors:
1 Tc 0.5000 0.5000 0.5000  8 As 2.76
2 As 0.2500 0.2500 0.2500  4 Tc 2.76, 4 Na 2.76
3 As 0.7500 0.7500 0.7500  4 Tc 2.76, 4 Na 2.76
4 Na 0.0000 0.0000 0.0000  8 As 2.76

Space-group type   Fm-3m
Energy of formation   0.0855 eV/atom
M_tot   0.00 μB per formula unit
DOS(E_F)   2.26 states/eV per cell



7.
VASP calculation (PBE) on a relaxed structure of Na4Pu3CoS8.

abc: 7.8035 8.0317 7.8040
angles: 119.10 120.00 90.00
Last column: nearest neighbours and their distance in Å.
Sites, in units of the cell vectors:
1 S 0.2331 0.7180 0.9849  1 Co 2.61, 2 Pu 2.71-2.72, 2 Na 2.90
2 S 0.2334 0.7183 0.4668  1 Co 2.61, 2 Pu 2.72, 2 Na 2.90
3 S 0.2481 0.2820 0.0151  1 Co 2.61, 2 Pu 2.71-2.72, 2 Na 2.90
4 S 0.7666 0.2817 0.5332  1 Co 2.61, 2 Pu 2.72, 2 Na 2.90
5 S 0.2568 0.2704 0.5135  3 Pu 2.72, 3 Na 2.88
6 S 0.7519 0.7180 0.9849  1 Co 2.61, 2 Pu 2.71-2.72, 2 Na 2.90
7 S 0.7669 0.2820 0.0151  1 Co 2.61, 2 Pu 2.71-2.72, 2 Na 2.90
8 S 0.7432 0.7296 0.4865  3 Pu 2.72, 3 Na 2.88
9 Na 0.5000 0.0000 0.0000  6 S 2.99-3.00
10 Na 0.0000 0.0000 0.0000  6 S 2.88-2.90
11 Na 0.5000 0.0000 0.5000  6 S 2.88-2.90
12 Na 0.0000 0.0000 0.5000  6 S 2.88-2.90
13 Pu 0.5000 0.5000 0.0000  6 S 2.72
14 Pu 0.5000 0.5000 0.5000  6 S 2.71-2.72
15 Pu 0.0000 0.5000 0.5000  6 S 2.71-2.72
16 Co 0.0000 0.5000 0.0000  6 S 2.61

Space-group type   R-3m
M_tot   11.00 μB per formula unit
Total DFT energy (no corrections)   -108.739 eV per cell
DOS(E_F)   27.96 states/eV per cell



8.
VASP calculation (PBE) on a relaxed structure of BiRhS2Cl.

abc: 4.7570 4.7570 4.6205
angles: 90.00 90.00 90.00
Last column: nearest neighbours and their distance in Å.
Sites, in units of the cell vectors:
1 Bi 0.5000 0.5000 0.5000  8 S 3.32, 4 Cl 3.36
2 Cl 0.0000 0.0000 0.5000  2 Rh 2.31
3 S 0.0000 0.5000 0.0000  2 Rh 2.38
4 S 0.5000 0.0000 0.0000  2 Rh 2.38
5 Rh 0.0000 0.0000 0.0000  2 Cl 2.31, 4 S 2.38

Space-group type   P4/mmm
M_tot   0.00 μB per formula unit
Total DFT energy (no corrections)   -21.366 eV per cell
DOS(E_F)   2.64 states/eV per cell



9.
VASP calculation (PBE) on a relaxed structure of TaHg2As.

abc: 9.7055 9.7055 9.7055
angles: 18.65 18.65 18.65
Last column: nearest neighbours and their distance in Å.
Sites, in units of the cell vectors:
1 As 0.7500 0.7500 0.7500  6 Hg 3.02, 6 As 3.15
2 Ta 0.2500 0.2500 0.2500  6 Hg 2.97, 6 Ta 3.15
3 Hg 0.9989 0.9989 0.9989  3 Ta 2.97, 3 As 3.02, 6 Hg 3.15
4 Hg 0.5011 0.5011 0.5011  3 Ta 2.97, 3 As 3.02, 6 Hg 3.15

Space-group type   R-3m
Energy of formation   0.4296 eV/atom
M_tot   0.00 μB per formula unit
DOS(E_F)   2.69 states/eV per cell



10.
VASP calculation (PBE) on a relaxed structure of Ta2AgAu.

abc: 5.1413 5.1413 5.1413
angles: 133.40 133.37 68.05
Last column: nearest neighbours and their distance in Å.
Sites, in units of the cell vectors:
1 Ta 0.0000 0.0000 0.0000  4 Ta 2.88, 4 Au 2.95, 4 Ag 2.95
2 Ta 0.5000 0.5000 0.0000  4 Ta 2.88, 4 Au 2.95, 4 Ag 2.95
3 Ag 0.7500 0.2500 0.5000  4 Au 2.88, 8 Ta 2.95
4 Au 0.2500 0.7500 0.5000  4 Ag 2.88, 8 Ta 2.95

Space-group type   I4/mmm
Energy of formation   0.1734 eV/atom
M_tot   0.00 μB per formula unit
DOS(E_F)   2.85 states/eV per cell



11.
VASP calculation (PBE) on a relaxed structure of Pm6Tm5Th2.

abc: 3.6181 11.6952 20.3454
angles: 90.00 90.00 90.00
Last column: nearest neighbours and their distance in Å.
Sites, in units of the cell vectors:
1 Pm 0.0000 0.4340 0.5734  5 Pm 3.36-3.68, 6 Tm 3.48-3.67
2 Pm 0.0000 0.9340 0.9266  5 Pm 3.36-3.68, 6 Tm 3.48-3.67
3 Pm 0.5000 0.8235 0.3722  2 Tm 3.30-3.32, 6 Pm 3.49-3.68, 2 Th 3.56
4 Pm 0.0000 0.9223 0.6383  1 Th 3.40, 6 Tm 3.42-3.54, 4 Pm 3.49-3.62
5 Pm 0.0000 0.4223 0.8617  1 Th 3.40, 6 Tm 3.42-3.54, 4 Pm 3.49-3.62
6 Pm 0.5000 0.3235 0.1278  2 Tm 3.30-3.32, 6 Pm 3.49-3.68, 2 Th 3.56
7 Pm 0.0000 0.0777 0.3617  1 Th 3.40, 6 Tm 3.42-3.54, 4 Pm 3.49-3.62
8 Pm 0.0000 0.5777 0.1383  1 Th 3.40, 6 Tm 3.42-3.54, 4 Pm 3.49-3.62
9 Pm 0.5000 0.1765 0.6278  2 Tm 3.30-3.32, 6 Pm 3.49-3.68, 2 Th 3.56
10 Pm 0.5000 0.6765 0.8722  2 Tm 3.30-3.32, 6 Pm 3.49-3.68, 2 Th 3.56
11 Pm 0.0000 0.5660 0.4266  5 Pm 3.36-3.68, 6 Tm 3.48-3.67
12 Pm 0.0000 0.0660 0.0734  5 Pm 3.36-3.68, 6 Tm 3.48-3.67
13 Tm 0.5000 0.5906 0.2809  5 Pm 3.30-3.48, 4 Th 3.54-3.55, 2 Tm 3.62
14 Tm 0.5000 0.8045 0.0647  6 Pm 3.54-3.67, 3 Tm 3.62-3.80, 2 Th 3.68
15 Tm 0.5000 0.6955 0.5647  6 Pm 3.54-3.67, 3 Tm 3.62-3.80, 2 Th 3.68
16 Tm 0.5000 0.9094 0.7809  5 Pm 3.30-3.48, 4 Th 3.54-3.55, 2 Tm 3.62
17 Tm 0.5000 0.3045 0.4353  6 Pm 3.54-3.67, 3 Tm 3.62-3.80, 2 Th 3.68
18 Tm 0.5000 0.4094 0.7191  5 Pm 3.30-3.48, 4 Th 3.54-3.55, 2 Tm 3.62
19 Tm 0.5000 0.1955 0.9353  6 Pm 3.54-3.67, 3 Tm 3.62-3.80, 2 Th 3.68
20 Tm 0.5000 0.5000 0.0000  6 Pm 3.32-3.47, 2 Tm 3.62
21 Tm 0.5000 0.0000 0.5000  6 Pm 3.32-3.47, 2 Tm 3.62
22 Tm 0.5000 0.0906 0.2191  5 Pm 3.30-3.48, 4 Th 3.54-3.55, 2 Tm 3.62
23 Th 0.0000 0.3299 0.2784  3 Pm 3.40-3.56, 6 Tm 3.54-3.68, 2 Th 3.62
24 Th 0.0000 0.6701 0.7216  3 Pm 3.40-3.56, 6 Tm 3.54-3.68, 2 Th 3.62
25 Th 0.0000 0.1701 0.7784  3 Pm 3.40-3.56, 6 Tm 3.54-3.68, 2 Th 3.62
26 Th 0.0000 0.8299 0.2216  3 Pm 3.40-3.56, 6 Tm 3.54-3.68, 2 Th 3.62

Space-group type   Pbam
Energy of formation   0.1209 eV/atom
M_tot   0.00 μB per formula unit
DOS(E_F)   32.38 states/eV per cell



12.
VASP calculation (PBE) on a relaxed structure of GePdRuN2.

abc: 3.7739 5.6033 3.7739
angles: 90.00 90.00 90.00
Last column: nearest neighbours and their distance in Å.
Sites, in units of the cell vectors:
1 Ge 0.5000 0.5000 0.5000  4 Pd 2.67
2 N 0.0000 0.0000 0.5000  2 Ru 1.89
3 N 0.5000 0.0000 0.0000  2 Ru 1.89
4 Ru 0.0000 0.0000 0.0000  4 N 1.89
5 Pd 0.0000 0.5000 0.0000  4 Ge 2.67, 2 Ru 2.80

Space-group type   P4/mmm
M_tot   0.00 μB per formula unit
Total DFT energy (no corrections)   -32.206 eV per cell
DOS(E_F)   2.01 states/eV per cell



> Which of these has the lowest DOS(E_F)?

GePdRuN2



> Which of these has the lowest DOS(E_F)?

GePdRuN2